## MgTl2Se (PBE)

Data for MgTl2Se after structural relaxation.

Computed properties:
The calculation puts the formation energy without anion corrections at -305.3 meV per atom. Its spin magnetization is 0.000 μB/atom. Its density of states at the Fermi level is 1.61 states/eV per cell.

a = 3.844 Å, b = 5.400 Å, c = 10.801 Å
α = 90.00°, β = 90.00°, γ = 90.00°
Space group Imm2 (No. 44)
Inequivalent atoms, fractional coordinates:
Mg 0.000 0.000 0.000 [2 per cell]
Tl 0.000 0.000 0.575 [2 per cell]
Tl 0.000 0.500 0.787 [2 per cell]
Se 0.000 0.500 0.337 [2 per cell]


## Mg2TlSe (PBE)

Data for Mg2TlSe after structural relaxation.

Computed properties:
The calculation puts the formation energy without anion corrections at -272.1 meV per atom. The value obtained for the polymorph energy (0 for the lowest one) is 1.05 eV/f.u. Its spin magnetization is 0.000 μB/atom. Its density of states at the Fermi level is 3.36 states/eV per cell.

a = 6.338 Å, b = 7.962 Å, c = 3.768 Å
α = 90.00°, β = 100.80°, γ = 90.00°
Space group C2/m (No. 12)
Inequivalent atoms, fractional coordinates:
Mg 0.250 0.250 0.000 [4 per cell]
Tl 0.000 0.000 0.500 [2 per cell]
Se 0.000 0.500 0.500 [2 per cell]


## Mg2TlSe (PBE)

Data for Mg2TlSe after structural relaxation.

Computed properties:
The calculation puts the formation energy without anion corrections at -308.8 meV per atom. The value obtained for the polymorph energy (0 for the lowest one) is 0.90 eV/f.u. Its spin magnetization is 0.000 μB/atom. Its density of states at the Fermi level is 1.57 states/eV per cell.

a = 4.031 Å, b = 5.418 Å, c = 4.563 Å
α = 90.00°, β = 92.27°, γ = 90.00°
Space group Pm (No. 6)
Inequivalent atoms, fractional coordinates:
Mg 0.000 0.000 0.000 [1 per cell]
Mg 0.481 0.500 0.831 [1 per cell]
Tl 0.971 0.500 0.351 [1 per cell]
Se 0.477 0.000 0.629 [1 per cell]


## MgTlSe2 (PBE)

Data for MgTlSe2 after structural relaxation.

Computed properties:
The calculation puts the formation energy without anion corrections at -311.1 meV per atom. Its spin magnetization is 0.000 μB/atom. Its density of states at the Fermi level is 2.45 states/eV per cell.

a = 5.138 Å, b = 5.138 Å, c = 3.558 Å
α = 90.00°, β = 90.00°, γ = 90.00°
Space group P4/mmm (No. 123)
Inequivalent atoms, fractional coordinates:
Mg 0.000 0.000 0.000 [1 per cell]
Tl 0.500 0.500 0.000 [1 per cell]
Se 0.000 0.500 0.500 [2 per cell]


## MgTlSe (PBE)

Data for MgTlSe after structural relaxation.

Computed properties:
The calculation puts the formation energy without anion corrections at -629.9 meV per atom. The value obtained for the polymorph energy (0 for the lowest one) is 0.00 eV/f.u. Its spin magnetization is 0.000 μB/atom. Its density of states at the Fermi level is 7.33 states/eV per cell.

a = 4.2996 Å, b = 4.2996 Å, c = 35.9663 Å
α = 90.00°, β = 90.00°, γ = 120.00°
Space group R-3m (No. 166, hexagonal axes)
Inequivalent atoms, fractional coordinates:
Mg 0.0000 0.0000 0.1368 [6 per cell]
Tl 0.0000 0.0000 0.3632 [6 per cell]
Se 0.0000 0.0000 0.2128 [6 per cell]


## MgTlSe2 (PBE)

Data for MgTlSe2 after structural relaxation.

Computed properties:
The calculation puts the formation energy without anion corrections at -466.2 meV per atom. Its spin magnetization is 0.000 μB/atom. Its density of states at the Fermi level is 2.81 states/eV per cell.

a = 3.555 Å, b = 3.555 Å, c = 7.528 Å
α = 90.00°, β = 90.00°, γ = 90.00°
Space group P4/mmm (No. 123)
Inequivalent atoms, fractional coordinates:
Mg 0.000 0.000 0.000 [1 per cell]
Tl 0.000 0.000 0.500 [1 per cell]
Se 0.500 0.500 0.202 [2 per cell]


## Mg2TlSe (PBE)

Data for Mg2TlSe after structural relaxation.

Computed properties:
The calculation puts the formation energy without anion corrections at -366.4 meV per atom. The value obtained for the polymorph energy (0 for the lowest one) is 0.67 eV/f.u. Its spin magnetization is 0.000 μB/atom. Its density of states at the Fermi level is 3.08 states/eV per cell.

a = 4.017 Å, b = 5.995 Å, c = 8.209 Å
α = 90.00°, β = 90.00°, γ = 90.00°
Space group Cmmm (No. 65)
Inequivalent atoms, fractional coordinates:
Mg 0.000 0.000 0.210 [4 per cell]
Tl 0.000 0.500 0.500 [2 per cell]
Se 0.000 0.500 0.000 [2 per cell]


## Mg2TlSe (PBE)

Data for Mg2TlSe after structural relaxation.

Computed properties:
The calculation puts the formation energy without anion corrections at -384.0 meV per atom. The value obtained for the polymorph energy (0 for the lowest one) is 0.60 eV/f.u. Its spin magnetization is 0.000 μB/atom. Its density of states at the Fermi level is 1.05 states/eV per cell.

a = 4.302 Å, b = 3.756 Å, c = 6.559 Å
α = 90.00°, β = 101.86°, γ = 90.00°
Space group P2/m (No. 10)
Inequivalent atoms, fractional coordinates:
Mg 0.105 0.000 0.238 [2 per cell]
Tl 0.500 0.500 0.000 [1 per cell]
Se 0.000 0.500 0.500 [1 per cell]


## Mg2TlSe (PBE)

Data for Mg2TlSe after structural relaxation.

Computed properties:
The calculation puts the formation energy without anion corrections at -267.2 meV per atom. The value obtained for the polymorph energy (0 for the lowest one) is 1.07 eV/f.u. Its spin magnetization is 0.000 μB/atom. Its density of states at the Fermi level is 3.92 states/eV per cell.

a = 6.315 Å, b = 7.845 Å, c = 3.739 Å
α = 90.00°, β = 90.00°, γ = 90.00°
Space group Cmmm (No. 65)
Inequivalent atoms, fractional coordinates:
Mg 0.250 0.250 0.000 [4 per cell]
Tl 0.000 0.000 0.500 [2 per cell]
Se 0.000 0.500 0.500 [2 per cell]


## MgTlSe2 (PBE)

Data for MgTlSe2 after structural relaxation.

Computed properties:
The calculation puts the formation energy without anion corrections at -646.4 meV per atom. Its spin magnetization is 0.000 μB/atom. Its density of states at the Fermi level is 11.28 states/eV per cell.

a = 6.360 Å, b = 6.360 Å, c = 12.787 Å
α = 90.00°, β = 90.00°, γ = 90.00°
Space group I-42d (No. 122)
Inequivalent atoms, fractional coordinates:
Mg 0.000 0.000 0.000 [4 per cell]
Tl 0.000 0.000 0.500 [4 per cell]
Se 0.208 0.250 0.125 [8 per cell]


## MgU3Tl3Se8 (PBE)

Data for MgU3Tl3Se8 after structural relaxation.

Computed properties:
The calculation puts the formation energy without anion corrections at -952.2 meV per atom. Its spin magnetization is 0.467 μB/atom. Its density of states at the Fermi level is 36.28 states/eV per cell.

a = 8.2088 Å, b = 8.2088 Å, c = 23.6551 Å
α = 90.00°, β = 90.00°, γ = 120.00°
Space group R-3m (No. 166, hexagonal axes)
Inequivalent atoms, fractional coordinates:
Mg 0.0000 0.0000 0.0000 [3 per cell]
U 0.0000 0.5000 0.0000 [9 per cell]
Tl 0.0000 0.5000 0.5000 [9 per cell]
Se 0.0000 0.0000 0.2643 [6 per cell]
Se 0.0031 0.5016 0.7327 [18 per cell]


## Mg2UTl3Se6 (PBE)

Data for Mg2UTl3Se6 after structural relaxation.

Computed properties:
The calculation puts the formation energy without anion corrections at -904.7 meV per atom. Its spin magnetization is 0.083 μB/atom. Its density of states at the Fermi level is 1.27 states/eV per cell.

a = 6.984 Å, b = 12.102 Å, c = 8.119 Å
α = 90.00°, β = 106.58°, γ = 90.00°
Space group C2/m (No. 12)
Inequivalent atoms, fractional coordinates:
Mg 0.000 0.167 0.000 [4 per cell]
U 0.000 0.500 0.000 [2 per cell]
Tl 0.000 0.000 0.500 [2 per cell]
Tl 0.000 0.333 0.500 [4 per cell]
Se 0.231 0.335 0.197 [8 per cell]
Se 0.236 0.000 0.200 [4 per cell]


## MgTl2VSe (PBE)

Data for MgTl2VSe after structural relaxation.

Computed properties:
The calculation puts the formation energy without anion corrections at 393.0 meV per atom. Its spin magnetization is 0.753 μB/atom. Its density of states at the Fermi level is 3.25 states/eV per cell.

a = 6.080 Å, b = 6.080 Å, c = 4.683 Å
α = 90.00°, β = 90.00°, γ = 90.00°
Space group P4/mmm (No. 123)
Inequivalent atoms, fractional coordinates:
Mg 0.000 0.000 0.000 [1 per cell]
Tl 0.000 0.500 0.500 [2 per cell]
V 0.500 0.500 0.000 [1 per cell]
Se 0.500 0.500 0.500 [1 per cell]


## Y2MgTl3Se6 (PBE)

Data for Y2MgTl3Se6 after structural relaxation.

Computed properties:
The calculation puts the formation energy without anion corrections at -1144.3 meV per atom. Its spin magnetization is 0.000 μB/atom. Its density of states at the Fermi level is 10.92 states/eV per cell.

a = 7.206 Å, b = 12.488 Å, c = 7.869 Å
α = 90.00°, β = 107.81°, γ = 90.00°
Space group C2/m (No. 12)
Inequivalent atoms, fractional coordinates:
Y 0.000 0.166 0.000 [4 per cell]
Mg 0.000 0.500 0.000 [2 per cell]
Tl 0.000 0.000 0.500 [2 per cell]
Tl 0.000 0.331 0.500 [4 per cell]
Se 0.231 0.337 0.205 [8 per cell]
Se 0.243 0.000 0.207 [4 per cell]


## TmMg2Se3 (PBE)

Data for TmMg2Se3 after structural relaxation.

Computed properties:
The calculation puts the formation energy without anion corrections at -1260.1 meV per atom. Its spin magnetization is 0.000 μB/atom. Its density of states at the Fermi level is 4.38 states/eV per cell.

a = 6.656 Å, b = 3.864 Å, c = 10.562 Å
α = 90.00°, β = 102.29°, γ = 90.00°
Space group P2_1/m (No. 11)
Inequivalent atoms, fractional coordinates:
Tm 0.026 0.250 0.341 [2 per cell]
Mg 0.248 0.250 0.003 [2 per cell]
Mg 0.454 0.250 0.681 [2 per cell]
Se 0.137 0.750 0.160 [2 per cell]
Se 0.271 0.750 0.499 [2 per cell]
Se 0.363 0.750 0.847 [2 per cell]


## TmMgSe2 (PBE)

Data for TmMgSe2 after structural relaxation.

Computed properties:
The calculation puts the formation energy without anion corrections at -1401.8 meV per atom. The value obtained for the polymorph energy (0 for the lowest one) is 0.00 eV/f.u. Its spin magnetization is 0.194 μB/atom. Its density of states at the Fermi level is 3.31 states/eV per cell.

a = 3.8646 Å, b = 3.8646 Å, c = 20.6678 Å
α = 90.00°, β = 90.00°, γ = 120.00°
Space group R3m (No. 160, hexagonal axes)
Inequivalent atoms, fractional coordinates:
Tm 0.0000 0.0000 0.0000 [3 per cell]
Mg 0.0000 0.0000 0.1673 [3 per cell]
Se 0.0000 0.0000 0.5762 [3 per cell]
Se 0.0000 0.0000 0.7550 [3 per cell]


## Tm3MgSe4 (PBE)

Data for Tm3MgSe4 after structural relaxation.

Computed properties:
The calculation puts the formation energy without anion corrections at -1528.7 meV per atom. Its spin magnetization is 0.000 μB/atom. Its density of states at the Fermi level is 11.66 states/eV per cell.

a = 3.9473 Å, b = 3.9473 Å, c = 40.1311 Å
α = 90.00°, β = 90.00°, γ = 120.00°
Space group R-3m (No. 166, hexagonal axes)
Inequivalent atoms, fractional coordinates:
Tm 0.0000 0.0000 0.0000 [3 per cell]
Tm 0.0000 0.0000 0.2515 [6 per cell]
Mg 0.0000 0.0000 0.5000 [3 per cell]
Se 0.0000 0.0000 0.1272 [6 per cell]
Se 0.0000 0.0000 0.3750 [6 per cell]


## Tm2MgSe4 (PBE)

Data for Tm2MgSe4 after structural relaxation.

Computed properties:
The calculation puts the formation energy without anion corrections at -1448.4 meV per atom. The value obtained for the polymorph energy (0 for the lowest one) is 1.74 eV/f.u. Its spin magnetization is 0.000 μB/atom.

a = 8.063 Å, b = 7.667 Å, c = 11.872 Å
α = 90.00°, β = 90.00°, γ = 90.00°
Space group Pnma (No. 62)
Inequivalent atoms, fractional coordinates:
Tm 0.051 0.250 0.012 [4 per cell]
Tm 0.071 0.750 0.313 [4 per cell]
Mg 0.171 0.250 0.395 [4 per cell]
Se 0.120 0.501 0.838 [8 per cell]
Se 0.124 0.750 0.549 [4 per cell]
Se 0.246 0.750 0.108 [4 per cell]


## Tm3MgSe6 (PBE)

Data for Tm3MgSe6 after structural relaxation.

Computed properties:
The calculation puts the formation energy without anion corrections at -1535.4 meV per atom. Its spin magnetization is 0.000 μB/atom. Its density of states at the Fermi level is 19.23 states/eV per cell.

a = 11.114 Å, b = 13.258 Å, c = 6.964 Å
α = 90.00°, β = 90.00°, γ = 90.00°
Space group Cmc2_1 (No. 36)
Inequivalent atoms, fractional coordinates:
Tm 0.000 0.098 0.000 [4 per cell]
Tm 0.179 0.400 0.908 [8 per cell]
Mg 0.000 0.295 0.383 [4 per cell]
Se 0.000 0.273 0.748 [4 per cell]
Se 0.000 0.467 0.200 [4 per cell]
Se 0.165 0.036 0.707 [8 per cell]
Se 0.176 0.226 0.180 [8 per cell]


## Tm2MgSe4 (PBE)

Data for Tm2MgSe4 after structural relaxation.

Computed properties:
The calculation puts the formation energy without anion corrections at -1670.7 meV per atom. The value obtained for the polymorph energy (0 for the lowest one) is 0.19 eV/f.u. Its spin magnetization is 0.000 μB/atom. Its density of states at the Fermi level is 0.00 states/eV per cell.

a = 13.998 Å, b = 8.125 Å, c = 6.793 Å
α = 90.00°, β = 90.00°, γ = 90.00°
Space group Pnma (No. 62)
Inequivalent atoms, fractional coordinates:
Tm 0.000 0.000 0.000 [4 per cell]
Tm 0.235 0.250 0.498 [4 per cell]
Mg 0.094 0.750 0.414 [4 per cell]
Se 0.075 0.250 0.750 [4 per cell]
Se 0.090 0.750 0.787 [4 per cell]
Se 0.171 0.503 0.233 [8 per cell]


## Tm2MgSe3 (PBE)

Data for Tm2MgSe3 after structural relaxation.

Computed properties:
The calculation puts the formation energy without anion corrections at -1505.6 meV per atom. Its spin magnetization is 0.000 μB/atom. Its density of states at the Fermi level is 3.55 states/eV per cell.

a = 3.948 Å, b = 3.948 Å, c = 17.268 Å
α = 90.00°, β = 90.00°, γ = 90.00°
Space group I4/mmm (No. 139)
Inequivalent atoms, fractional coordinates:
Tm 0.000 0.000 0.177 [4 per cell]
Mg 0.000 0.000 0.500 [2 per cell]
Se 0.000 0.000 0.000 [2 per cell]
Se 0.000 0.000 0.343 [4 per cell]


## TmMgSe2 (PBE)

Data for TmMgSe2 after structural relaxation.

Computed properties:
The calculation puts the formation energy without anion corrections at -1380.5 meV per atom. The value obtained for the polymorph energy (0 for the lowest one) is 0.09 eV/f.u. Its spin magnetization is 0.000 μB/atom. Its density of states at the Fermi level is 5.28 states/eV per cell.

a = 3.8616 Å, b = 3.8616 Å, c = 20.5424 Å
α = 90.00°, β = 90.00°, γ = 120.00°
Space group R-3m (No. 166, hexagonal axes)
Inequivalent atoms, fractional coordinates:
Tm 0.0000 0.0000 0.0000 [3 per cell]
Mg 0.0000 0.0000 0.5000 [3 per cell]
Se 0.0000 0.0000 0.2452 [6 per cell]


## Tm6MgSe8 (PBE)

Data for Tm6MgSe8 after structural relaxation.

Computed properties:
The calculation puts the formation energy without anion corrections at -1702.0 meV per atom. Its spin magnetization is 0.000 μB/atom. Its density of states at the Fermi level is 15.02 states/eV per cell.

a = 11.317 Å, b = 11.317 Å, c = 11.317 Å
α = 90.00°, β = 90.00°, γ = 90.00°
Space group Fm-3m (No. 225)
Inequivalent atoms, fractional coordinates:
Tm 0.000 0.250 0.250 [24 per cell]
Mg 0.000 0.000 0.000 [4 per cell]
Se 0.000 0.000 0.246 [24 per cell]
Se 0.250 0.250 0.250 [8 per cell]